(1)
Ce2O3F after structural relaxation. Source: Alexandria, functional PBE-GGA.

Summary:
Its formation energy (no corrections) is -3.594 eV/atom. Its spin magnetization is 4.2 μB per cell.

Cell lengths 5.698, 11.131, 5.736 Å; angles 90.00, 90.00, 90.00 degrees
Space group Ibam (No. 72)
Inequivalent atoms, fractional coordinates:
Ce (0.208, 0.139, 0.000) x8
O (0.000, 0.000, 0.250) x4
O (0.000, 0.260, 0.250) x8
F (0.000, 0.500, 0.000) x4

(2)
CeOF3 after structural relaxation. Source: Alexandria, functional PBE-GGA.

Summary:
Its formation energy (no corrections) is -3.219 eV/atom. Its spin magnetization is 0.2 μB per cell.

Cell lengths 5.410, 5.625, 5.631 Å; angles 84.25, 76.31, 68.66 degrees
Space group P-1 (No. 2)
Inequivalent atoms, fractional coordinates:
Ce (0.010, 0.227, 0.228) x2
O (0.117, 0.408, 0.533) x2
F (0.248, 0.961, 0.906) x2
F (0.252, 0.452, 0.986) x2
F (0.255, 0.874, 0.423) x2

(3)
Ce4O4F5 after structural relaxation. Source: Alexandria, functional PBE-GGA.

Summary:
Its formation energy (no corrections) is -3.606 eV/atom. Its spin magnetization is 6.0 μB per cell.

Cell lengths 9.781, 9.781, 3.817 Å; angles 90.00, 90.00, 90.00 degrees
Space group I4/m (No. 87)
Inequivalent atoms, fractional coordinates:
Ce (0.070, 0.262, 0.000) x8
O (0.120, 0.375, 0.500) x8
F (0.000, 0.000, 0.000) x2
F (0.108, 0.813, 0.500) x8

(4)
CeOF2 after structural relaxation. Source: Alexandria, functional PBE-GGA.

Summary:
Its formation energy (no corrections) is -3.617 eV/atom. Its spin magnetization is 0.0 μB per cell.

Cell lengths 4.586, 4.586, 4.174 Å; angles 90.00, 90.00, 90.00 degrees
Space group P4/mmm (No. 123)
Inequivalent atoms, fractional coordinates:
Ce (0.000, 0.000, 0.000) x1
O (0.000, 0.000, 0.500) x1
F (0.000, 0.500, 0.000) x2

(5)
CeO2F4 after structural relaxation. Source: Alexandria, functional PBE-GGA.

Summary:
Its formation energy (no corrections) is -1.876 eV/atom. Its spin magnetization is 3.9 μB per cell.

Cell lengths 3.841, 3.844, 7.874 Å; angles 79.18, 78.60, 88.97 degrees
Space group P-1 (No. 2)
Inequivalent atoms, fractional coordinates:
Ce (0.000, 0.000, 0.000) x1
O (0.315, 0.317, 0.495) x2
F (0.066, 0.562, 0.837) x2
F (0.435, 0.937, 0.163) x2

(6)
Ce2OF4 after structural relaxation. Source: Alexandria, functional PBE-GGA.

Summary:
Its formation energy (no corrections) is -3.741 eV/atom. Its spin magnetization is 6.0 μB per cell.

Cell lengths 4.2456, 4.2456, 23.1201 Å; angles 90.00, 90.00, 120.00 degrees
Space group R-3m (No. 166, hexagonal axes)
Inequivalent atoms, fractional coordinates:
Ce (0.0000, 0.0000, 0.0907) x6
O (0.0000, 0.0000, 0.0000) x3
F (0.0000, 0.0000, 0.2032) x6
F (0.0000, 0.0000, 0.4189) x6

Which value of formation energy (no corrections) does entry 5 give? -1.876 eV/atom

Look up the formation energy (no corrections) of the third one. -3.606 eV/atom

spin magnetization of number 2 (CeOF3)? 0.2 μB per cell